## Re2Br (PBE-GGA)

Data for Re2Br after structural relaxation.

**Formation energy from raw total energies**: 2.8 eV/f.u.
**Relative energy among the computed polymorphs**: 613.3 meV per atom
**DOS(E_F)**: 1.91 states/eV/f.u.

a b c (Å): 5.778 5.778 7.838
angles (deg): 56.47 56.47 29.34
Element x y z (fractional)
Re1 0.988 0.988 0.637
Re2 0.238 0.238 0.887
Re3 0.696 0.696 0.646
Re4 0.627 0.627 0.290
Br1 0.389 0.389 0.355
Br2 0.896 0.896 0.018

---

## ReBr3 (PBE-GGA)

Data for ReBr3 after structural relaxation.

**Formation energy from raw total energies**: 2.9 eV/f.u.
**Relative energy among the computed polymorphs**: 691.1 meV per atom
**DOS(E_F)**: 4.27 states/eV/f.u.

a b c (Å): 3.169 3.169 9.229
angles (deg): 90.00 90.00 90.00
Element x y z (fractional)
Br1 0.000 0.000 0.919
Br2 0.500 0.500 0.250
Br3 0.000 0.000 0.581
Re1 0.500 0.500 0.750

---

## ReBr6 (PBE-GGA)

Data for ReBr6 after structural relaxation.

**Formation energy from raw total energies**: -1.3 eV/f.u.
**DOS(E_F)**: 4.59 states/eV/f.u.

a b c (Å): 6.573 11.659 11.843
angles (deg): 90.00 90.00 90.00
Each line ends with the local moment (μB).
Element x y z (fractional)
Br1 0.285 0.100 0.000  0.00
Br2 0.894 0.750 0.764  -0.01
Br3 0.394 0.250 0.736  -0.01
Br4 0.758 0.250 0.515  0.00
Br5 0.435 0.899 0.749  0.03
Br6 0.215 0.400 0.500  0.00
Br7 0.715 0.900 0.000  0.00
Br8 0.435 0.601 0.749  0.03
Br9 0.785 0.600 0.500  0.00
Br10 0.565 0.399 0.251  0.03
Br11 0.935 0.101 0.751  0.03
Br12 0.935 0.399 0.751  0.03
Br13 0.258 0.750 0.985  0.00
Br14 0.785 0.900 0.500  0.00
Br15 0.242 0.750 0.485  0.00
Br16 0.565 0.101 0.251  0.03
Br17 0.606 0.750 0.264  -0.01
Br18 0.215 0.100 0.500  0.00
Br19 0.742 0.250 0.015  0.00
Br20 0.065 0.899 0.249  0.03
Br21 0.285 0.400 0.000  0.00
Br22 0.065 0.601 0.249  0.03
Br23 0.715 0.600 0.000  0.00
Br24 0.106 0.250 0.236  -0.01
Re1 0.076 0.250 0.626  0.84
Re2 0.576 0.750 0.874  0.84
Re3 0.424 0.250 0.126  0.84
Re4 0.924 0.750 0.374  0.84

---

## ReBr3 (PBE-GGA)

Data for ReBr3 after structural relaxation.

**Formation energy from raw total energies**: 4.4 eV/f.u.
**Relative energy among the computed polymorphs**: 1062.9 meV per atom
**DOS(E_F)**: 2.93 states/eV/f.u.

a b c (Å): 13.473 13.473 13.473
angles (deg): 162.31 162.31 25.12
Each line ends with the local moment (μB).
Element x y z (fractional)
Br1 0.500 0.000 0.500  0.00
Br2 0.143 0.143 0.000  0.00
Br3 0.250 0.750 0.500  -0.01
Br4 0.000 0.500 0.500  0.00
Br5 0.750 0.250 0.500  -0.01
Br6 0.857 0.857 0.000  0.00
Re1 0.305 0.305 0.000  0.42
Re2 0.695 0.695 0.000  0.42

---

## Re2Br (PBE-GGA)

Data for Re2Br after structural relaxation.

**Formation energy from raw total energies**: 5.7 eV/f.u.
**Relative energy among the computed polymorphs**: 1587.1 meV per atom
**DOS(E_F)**: 3.45 states/eV/f.u.

a b c (Å): 5.119 5.119 5.119
angles (deg): 107.28 107.28 113.95
Element x y z (fractional)
Re1 0.863 0.363 0.226
Re2 0.363 0.137 0.500
Re3 0.637 0.863 0.500
Re4 0.137 0.637 0.774
Br1 0.750 0.750 0.000
Br2 0.250 0.250 0.000

---

## Re2Br (PBE-GGA)

Data for Re2Br after structural relaxation.

**Formation energy from raw total energies**: 3.6 eV/f.u.
**Relative energy among the computed polymorphs**: 891.8 meV per atom
**DOS(E_F)**: 1.99 states/eV/f.u.

a b c (Å): 4.304 4.304 2.964
angles (deg): 90.00 90.00 120.00
Element x y z (fractional)
Re1 0.333 0.667 0.742
Re2 0.667 0.333 0.258
Br1 0.000 0.000 0.000

---

## Re2Br (PBE-GGA)

Data for Re2Br after structural relaxation.

**Formation energy from raw total energies**: 2.3 eV/f.u.
**Relative energy among the computed polymorphs**: 443.2 meV per atom
**DOS(E_F)**: 1.39 states/eV/f.u.

a b c (Å): 3.656 7.443 10.531
angles (deg): 90.00 90.00 90.00
Element x y z (fractional)
Re1 0.750 0.872 0.562
Re2 0.250 0.128 0.438
Re3 0.250 0.628 0.062
Re4 0.750 0.479 0.162
Re5 0.250 0.521 0.838
Re6 0.750 0.372 0.938
Re7 0.250 0.021 0.662
Re8 0.750 0.979 0.338
Br1 0.750 0.051 0.863
Br2 0.250 0.449 0.363
Br3 0.750 0.551 0.637
Br4 0.250 0.949 0.137

---

## Re2RhBr (PBE-GGA)

Data for Re2RhBr after structural relaxation.

**Formation energy from raw total energies**: 6.5 eV/f.u.
**Relative energy among the computed polymorphs**: 1213.9 meV per atom
**DOS(E_F)**: 3.84 states/eV/f.u.

a b c (Å): 5.773 5.773 6.644
angles (deg): 64.25 64.25 90.00
Element x y z (fractional)
Br1 0.500 0.500 0.000
Br2 0.250 0.750 0.500
Re1 0.634 0.125 0.250
Re2 0.116 0.625 0.250
Re3 0.375 0.366 0.750
Re4 0.875 0.884 0.750
Rh1 0.750 0.250 0.500
Rh2 0.000 0.000 0.000

---

## ReRh4Br (PBE-GGA)

Data for ReRh4Br after structural relaxation.

**Formation energy from raw total energies**: 5.6 eV/f.u.
**DOS(E_F)**: 7.58 states/eV/f.u.

a b c (Å): 5.148 5.148 5.148
angles (deg): 60.00 60.00 60.00
Element x y z (fractional)
Br1 0.750 0.750 0.750
Rh1 0.375 0.375 0.876
Rh2 0.375 0.876 0.375
Rh3 0.876 0.375 0.375
Rh4 0.375 0.375 0.375
Re1 0.000 0.000 0.000

---

## Re2RhBr (PBE-GGA)

Data for Re2RhBr after structural relaxation.

**Formation energy from raw total energies**: 4.4 eV/f.u.
**Relative energy among the computed polymorphs**: 686.3 meV per atom
**DOS(E_F)**: 3.92 states/eV/f.u.

a b c (Å): 4.655 4.655 4.655
angles (deg): 126.48 126.48 79.10
Element x y z (fractional)
Re1 0.000 0.000 0.000
Re2 0.250 0.750 0.500
Br1 0.750 0.250 0.500
Rh1 0.500 0.500 0.000

---

## Re2Rh2Br (PBE-GGA)

Data for Re2Rh2Br after structural relaxation.

**Formation energy from raw total energies**: 2.9 eV/f.u.
**Relative energy among the computed polymorphs**: 80.7 meV per atom
**DOS(E_F)**: 5.22 states/eV/f.u.

a b c (Å): 7.837 7.837 2.751
angles (deg): 90.00 90.00 90.00
Element x y z (fractional)
Rh1 0.165 0.665 0.500
Rh2 0.665 0.835 0.500
Rh3 0.835 0.335 0.500
Rh4 0.335 0.165 0.500
Re1 0.617 0.117 0.000
Re2 0.883 0.617 0.000
Re3 0.383 0.883 0.000
Re4 0.117 0.383 0.000
Br1 0.000 0.000 0.000
Br2 0.500 0.500 0.000

---

## ReRh2Br2 (PBE-GGA)

Data for ReRh2Br2 after structural relaxation.

**Formation energy from raw total energies**: 5.9 eV/f.u.
**Relative energy among the computed polymorphs**: 0.0 meV per atom
**DOS(E_F)**: 8.55 states/eV/f.u.

a b c (Å): 7.278 7.278 3.160
angles (deg): 90.00 90.00 90.00
Element x y z (fractional)
Rh1 0.347 0.153 0.500
Rh2 0.153 0.653 0.500
Rh3 0.653 0.847 0.500
Rh4 0.847 0.347 0.500
Re1 0.500 0.500 0.000
Re2 0.000 0.000 0.000
Br1 0.341 0.841 0.000
Br2 0.841 0.659 0.000
Br3 0.159 0.341 0.000
Br4 0.659 0.159 0.000